ThSbRhSe, optimized geometry, DFT GGA-PBE; E_form (uncorrected) = -1.038 eV/atom; total magnetic moment = 0.000 μB per cell; D(E_F) = 0.68 states/eV/atom
1.0
-3.9188 -2.5036 -0.5864
2.5642 -3.8843 -0.5524
-0.3473 -1.4242 8.4022
Rh Th Se Sb
2 2 2 2
direct
0.0000 0.0000 0.0000
0.5000 0.5000 0.0000
0.5000 0.0000 0.7146
0.0000 0.5000 0.2854
0.0000 0.0000 0.5000
0.5000 0.5000 0.5000
0.5000 0.0000 0.1512
0.0000 0.5000 0.8488